(1)
Computed, not measured: an optimized crystal structure of Y4TePd at the PBE level of DFT.

a = 7.6945 Å, b = 7.6945 Å, c = 7.0998 Å
α = 115.80°, β = 115.80°, γ = 29.58°
Positions (direct):
Y  0.1377  0.1377  0.2817
Y  0.3588  0.3588  0.1693
Y  0.6412  0.6412  0.8307
Y  0.8623  0.8623  0.7183
Te  0.0000  0.0000  0.5000
Pd  0.5000  0.5000  0.0000

Summary:
The space group is C2/m, No. 12. The calculation puts the energy above the most stable polymorph in this dataset at 0.209 eV per atom.

=====

(2)
Computed, not measured: an optimized crystal structure of Pm4GaSnO at the PBE level of DFT.

a = 9.0897 Å, b = 9.0897 Å, c = 6.6426 Å
α = 90.00°, β = 90.00°, γ = 137.18°
Positions (direct):
Pm  0.0000  0.5000  0.0000
Pm  0.0000  0.5000  0.5000
Pm  0.0626  0.9374  0.7500
Pm  0.4189  0.5811  0.7500
Pm  0.5000  0.0000  0.0000
Pm  0.5000  0.0000  0.5000
Pm  0.5811  0.4189  0.2500
Pm  0.9374  0.0626  0.2500
Ga  0.1176  0.8824  0.2500
Ga  0.8824  0.1176  0.7500
Sn  0.3909  0.6091  0.2500
Sn  0.6091  0.3909  0.7500
O  0.2701  0.7299  0.7500
O  0.7299  0.2701  0.2500

Summary:
The space group is Cmcm, No. 63.

=====

E_form (uncorrected) / meV per atom: -548.4; -1192.4
Size of the total moment / μB per cell: 1.23; 0.00